Run A
## CaZn4Cu (GGA-PBE)

Data for a relaxed CaZn4Cu crystal.

abc: 7.4238 7.4238 7.4238
angles: 90.00 90.00 90.00
Closest atoms and distances in Å follow each position.
Space group F-43m (No. 216)
Inequivalent atoms, fractional coordinates:
Ca: 0.0000 0.0000 0.0000  12 Zn 3.08, 4 Cu 3.21
Zn: 0.1241 0.1241 0.3759  6 Zn 2.61-2.64
Cu: 0.2500 0.2500 0.7500  12 Zn 3.08, 4 Ca 3.21

Summary:
Total magnetic moment: 0.00 μB/f.u.
Mass density: 5.9 g/cm³


Run B
## CaZn4Cu (GGA-PBE)

Data for a relaxed CaZn4Cu crystal.

abc: 7.8060 3.9510 6.9081
angles: 90.00 90.00 90.00
Closest atoms and distances in Å follow each position.
Space group Pmma (No. 51)
Inequivalent atoms, fractional coordinates:
Ca: 0.2500 0.0000 0.1113  1 Cu 2.83, 6 Zn 3.06-3.16
Zn: 0.0000 0.0000 0.5000  2 Cu 2.40
Zn: 0.0550 0.5000 0.7978  2 Cu 2.58, 3 Zn 2.85-2.88
Zn: 0.2500 0.5000 0.4496  2 Cu 2.64, 8 Zn 2.80-2.93
Cu: 0.2500 0.0000 0.7022  8 Zn 2.40-2.64

Summary:
Total magnetic moment: 0.00 μB/f.u.
Mass density: 5.7 g/cm³


Bottom line: run B, by a margin of 9.0 kJ/mol of atoms.


Run A
## Ca3ZnCu (GGA-PBE)

Data for a relaxed Ca3ZnCu crystal.

abc: 10.5030 6.6479 8.9357
angles: 90.00 115.26 90.00
Closest atoms and distances in Å follow each position.
Space group C2/m (No. 12)
Inequivalent atoms, fractional coordinates:
Ca: 0.0131 0.0000 0.2418  2 Cu 2.97, 2 Zn 3.12
Ca: 0.1921 0.5000 0.8610  2 Cu 3.05, 2 Zn 3.25
Ca: 0.2041 0.5000 0.3360  2 Cu 3.10, 4 Zn 3.33-3.47
Zn: 0.0000 0.3055 0.5000  1 Zn 2.59
Cu: 0.0000 0.3144 0.0000  1 Cu 2.47

Summary:
Total magnetic moment: 0.00 μB/f.u.
Mass density: 2.9 g/cm³


Run B
## Ca3ZnCu (GGA-PBE)

Data for a relaxed Ca3ZnCu crystal.

abc: 5.5087 5.5087 5.5087
angles: 90.00 90.00 90.00
Closest atoms and distances in Å follow each position.
Space group Pm-3m (No. 221)
Inequivalent atoms, fractional coordinates:
Ca: 0.0000 0.0000 0.5000  2 Cu 2.75
Zn: 0.5000 0.5000 0.5000  12 Ca 3.90
Cu: 0.0000 0.0000 0.0000  6 Ca 2.75

Summary:
Total magnetic moment: 0.00 μB/f.u.
Mass density: 2.5 g/cm³


Bottom line: run A, by a margin of 21.7 kJ/mol of atoms.


Run A
## CaZr2Cu2 (GGA-PBE)

Data for a relaxed CaZr2Cu2 crystal.

abc: 7.9988 7.9988 3.1627
angles: 90.00 90.00 90.00
Closest atoms and distances in Å follow each position.
Space group P4/mbm (No. 127)
Inequivalent atoms, fractional coordinates:
Ca: 0.0000 0.0000 0.0000  2 Ca 3.16, 4 Cu 3.16, 8 Zr 3.38
Zr: 0.1638 0.3362 0.5000  6 Cu 2.81-2.87
Cu: 0.1247 0.6247 0.0000  6 Zr 2.81-2.87, 1 Cu 2.82

Summary:
Total magnetic moment: 0.00 μB/f.u.
Mass density: 5.7 g/cm³


Run B
## CaZr2Cu2 (GGA-PBE)

Data for a relaxed CaZr2Cu2 crystal.

abc: 4.7914 4.7914 10.1879
angles: 90.00 90.00 90.00
Closest atoms and distances in Å follow each position.
Space group I4/mmm (No. 139)
Inequivalent atoms, fractional coordinates:
Ca: 0.0000 0.0000 0.0000  8 Cu 3.50, 10 Zr 3.59-3.71
Zr: 0.0000 0.0000 0.3526  4 Cu 2.61
Cu: 0.0000 0.5000 0.2500  4 Zr 2.61

Summary:
Total magnetic moment: 0.96 μB/f.u.
Mass density: 5.0 g/cm³


Run C
## CaZr2Cu2 (GGA-PBE)

Data for a relaxed CaZr2Cu2 crystal.

abc: 8.2501 8.2501 2.9529
angles: 90.00 90.00 90.00
Closest atoms and distances in Å follow each position.
Space group P4/mbm (No. 127)
Inequivalent atoms, fractional coordinates:
Ca: 0.0000 0.0000 0.0000  2 Ca 2.95, 4 Zr 3.23
Zr: 0.1306 0.3694 0.0000  6 Cu 2.79-2.88, 3 Zr 2.95-3.05
Cu: 0.1663 0.6663 0.5000  6 Zr 2.79-2.88, 2 Cu 2.95

Summary:
Total magnetic moment: 0.00 μB/f.u.
Mass density: 5.8 g/cm³


Bottom line: run A, by a margin of 1.6 kJ/mol of atoms.


Run A
## Ca2ZrCu (GGA-PBE)

Data for a relaxed Ca2ZrCu crystal.

abc: 3.4963 3.4963 30.0938
angles: 90.00 90.00 120.00
Closest atoms and distances in Å follow each position.
Space group R-3m (No. 166, hexagonal axes)
Inequivalent atoms, fractional coordinates:
Ca: 0.0000 0.0000 0.2399  3 Cu 2.99
Zr: 0.0000 0.0000 0.0000  6 Ca 3.46, 6 Zr 3.50
Cu: 0.0000 0.0000 0.5000  6 Ca 2.99

Summary:
Total magnetic moment: 0.00 μB/f.u.
Mass density: 3.7 g/cm³


Run B
## Ca2ZrCu (GGA-PBE)

Data for a relaxed Ca2ZrCu crystal.

abc: 5.3997 5.3997 3.6268
angles: 90.00 90.00 90.00
Closest atoms and distances in Å follow each position.
Space group P4/mmm (No. 123)
Inequivalent atoms, fractional coordinates:
Ca: 0.0000 0.5000 0.0000  4 Zr 3.25, 4 Cu 3.25, 2 Ca 3.63
Zr: 0.0000 0.0000 0.5000  8 Ca 3.25, 2 Zr 3.63
Cu: 0.5000 0.5000 0.5000  8 Ca 3.25, 2 Cu 3.63

Summary:
Total magnetic moment: 1.13 μB/f.u.
Mass density: 3.7 g/cm³


Run C
## Ca2ZrCu (GGA-PBE)

Data for a relaxed Ca2ZrCu crystal.

abc: 6.5874 9.2731 3.3964
angles: 90.00 90.00 90.00
Closest atoms and distances in Å follow each position.
Space group Cmmm (No. 65)
Inequivalent atoms, fractional coordinates:
Ca: 0.2500 0.2500 0.0000  4 Ca 3.29-3.40, 4 Zr 3.31, 4 Cu 3.31
Zr: 0.0000 0.0000 0.5000  2 Cu 3.29, 8 Ca 3.31, 2 Zr 3.40
Cu: 0.0000 0.5000 0.5000  2 Zr 3.29, 8 Ca 3.31, 2 Cu 3.40

Summary:
Total magnetic moment: 0.00 μB/f.u.
Mass density: 3.8 g/cm³


Run D
## Ca2ZrCu (GGA-PBE)

Data for a relaxed Ca2ZrCu crystal.

abc: 7.3604 7.3604 7.3604
angles: 90.00 90.00 90.00
Closest atoms and distances in Å follow each position.
Space group F-43m (No. 216)
Inequivalent atoms, fractional coordinates:
Ca: 0.0000 0.0000 0.0000  4 Ca 3.19, 4 Zr 3.19
Ca: 0.2500 0.2500 0.2500  4 Cu 3.19, 4 Ca 3.19
Zr: 0.2500 0.2500 0.7500  4 Ca 3.19, 4 Cu 3.19
Cu: 0.0000 0.0000 0.5000  4 Zr 3.19, 4 Ca 3.19

Summary:
Total magnetic moment: 0.17 μB/f.u.
Mass density: 3.9 g/cm³


Bottom line: run A, by a margin of 9.8 kJ/mol of atoms.


Run A
## Ca2ZrCu (GGA-PBE)

Data for a relaxed Ca2ZrCu crystal.

abc: 3.4447 3.4427 9.2197
angles: 90.00 90.07 90.00
Closest atoms and distances in Å follow each position.
Space group Pm (No. 6)
Inequivalent atoms, fractional coordinates:
Ca: 0.0000 0.0000 0.0000  4 Ca 3.44, 4 Zr 3.55-3.56
Ca: 0.4986 0.5000 0.3554  4 Cu 3.18, 1 Zr 3.35, 4 Ca 3.44
Zr: 0.4985 0.5000 0.7190  4 Cu 2.76
Cu: 0.9977 0.0000 0.5773  4 Zr 2.76

Summary:
Total magnetic moment: 0.48 μB/f.u.
Mass density: 3.6 g/cm³


Run B
## Ca2ZrCu (GGA-PBE)

Data for a relaxed Ca2ZrCu crystal.

abc: 12.6712 3.4443 5.4317
angles: 90.00 115.35 90.00
Closest atoms and distances in Å follow each position.
Space group Cm (No. 8)
Inequivalent atoms, fractional coordinates:
Ca: 0.0000 0.0000 0.0000  4 Cu 3.22-3.23, 4 Ca 3.44-3.57, 2 Zr 3.53
Ca: 0.2019 0.0000 0.7017  2 Cu 3.06, 4 Zr 3.42
Zr: 0.3031 0.5000 0.3029  2 Cu 2.66
Cu: 0.4806 0.0000 0.4815  2 Zr 2.66

Summary:
Total magnetic moment: 0.00 μB/f.u.
Mass density: 3.6 g/cm³


Bottom line: run A, by a margin of 12.1 kJ/mol of atoms.